Material: RbGe3F
Method: DFT, PBE-GGA
State: optimized geometry

The energy above the most stable polymorph in this dataset is 1409 meV per atom. The calculation puts the magnetization at 2.96 μB/f.u.

a b c (Å): 6.046 6.046 6.046
angles (deg): 90.00 90.00 90.00
Space group Pm-3m (No. 221)
Inequivalent atoms, fractional coordinates:
Rb 0.000 0.000 0.000 x1
Ge 0.000 0.000 0.500 x3
F 0.500 0.500 0.500 x1


Material: RbGeF3
Method: DFT, PBE-GGA
State: optimized geometry

The calculation puts the magnetization at 0.00 μB/f.u.

a b c (Å): 4.485 4.485 4.485
angles (deg): 90.00 90.00 90.00
Space group Pm-3m (No. 221)
Inequivalent atoms, fractional coordinates:
Rb 0.000 0.000 0.000 x1
Ge 0.500 0.500 0.500 x1
F 0.000 0.500 0.500 x3


Material: Rb2GeF
Method: DFT, PBE-GGA
State: optimized geometry

The energy above the most stable polymorph in this dataset is 0 meV per atom. The calculation puts the magnetization at 0.00 μB/f.u.

a b c (Å): 8.079 8.079 9.279
angles (deg): 90.00 90.00 90.00
Space group I-42d (No. 122)
Inequivalent atoms, fractional coordinates:
Rb 0.151 0.250 0.125 x8
Ge 0.000 0.000 0.500 x4
F 0.000 0.000 0.000 x4


Material: RbGeF3
Method: DFT, PBE-GGA
State: optimized geometry

The calculation puts the magnetization at 0.00 μB/f.u.

a b c (Å): 4.920 4.920 4.920
angles (deg): 90.00 90.00 90.00
Space group Pm-3m (No. 221)
Inequivalent atoms, fractional coordinates:
Rb 0.000 0.000 0.000 x1
Ge 0.500 0.500 0.500 x1
F 0.000 0.000 0.500 x3


Material: Rb2GeF6
Method: DFT, PBE-GGA
State: optimized geometry

The energy above the most stable polymorph in this dataset is 9 meV per atom. The calculation puts the magnetization at 0.00 μB/f.u.

a b c (Å): 5.9489 5.9489 4.9424
angles (deg): 90.00 90.00 120.00
Space group P-3m1 (No. 164)
Inequivalent atoms, fractional coordinates:
Rb 0.3333 0.6667 0.2010 x2
Ge 0.0000 0.0000 0.5000 x1
F 0.1475 0.2951 0.7098 x6


Material: RbGeF2
Method: DFT, PBE-GGA
State: optimized geometry

The energy above the most stable polymorph in this dataset is 304 meV per atom. The calculation puts the magnetization at 0.96 μB/f.u.

a b c (Å): 5.453 5.453 13.307
angles (deg): 90.00 90.00 90.00
Space group I-42d (No. 122)
Inequivalent atoms, fractional coordinates:
Rb 0.000 0.000 0.000 x4
Ge 0.000 0.000 0.500 x4
F 0.164 0.250 0.625 x8


Material: Rb2GeF6
Method: DFT, PBE-GGA
State: optimized geometry

The energy above the most stable polymorph in this dataset is 0 meV per atom. The calculation puts the magnetization at 0.02 μB/f.u.

a b c (Å): 8.714 8.714 8.714
angles (deg): 90.00 90.00 90.00
Space group Fm-3m (No. 225)
Inequivalent atoms, fractional coordinates:
Rb 0.250 0.250 0.250 x8
Ge 0.000 0.000 0.000 x4
F 0.000 0.000 0.211 x24


Material: Rb2Ge2F7
Method: DFT, PBE-GGA
State: optimized geometry

The calculation puts the magnetization at 0.00 μB/f.u.

a b c (Å): 8.660 11.930 5.225
angles (deg): 90.00 117.11 90.00
Space group C2/m (No. 12)
Inequivalent atoms, fractional coordinates:
Rb 0.000 0.179 0.000 x4
Ge 0.147 0.500 0.272 x4
F 0.000 0.500 0.500 x2
F 0.164 0.000 0.366 x4
F 0.239 0.370 0.185 x8


Material: RbGe2F
Method: DFT, PBE-GGA
State: optimized geometry

The energy above the most stable polymorph in this dataset is 0 meV per atom. The calculation puts the magnetization at 0.00 μB/f.u.

a b c (Å): 4.966 4.966 18.814
angles (deg): 90.00 90.00 90.00
Space group I4_1/amd (No. 141, origin choice 2)
Inequivalent atoms, fractional coordinates:
Rb 0.000 0.250 0.375 x4
Ge 0.000 0.000 0.000 x8
F 0.000 0.250 0.875 x4


Material: RbGeF2
Method: DFT, PBE-GGA
State: optimized geometry

The energy above the most stable polymorph in this dataset is 0 meV per atom. The calculation puts the magnetization at 0.00 μB/f.u.

a b c (Å): 3.6279 3.6279 22.8915
angles (deg): 90.00 90.00 120.00
Space group R-3m (No. 166, hexagonal axes)
Inequivalent atoms, fractional coordinates:
Rb 0.0000 0.0000 0.0000 x3
Ge 0.0000 0.0000 0.5000 x3
F 0.0000 0.0000 0.4095 x6


Material: Rb2GeF5
Method: DFT, PBE-GGA
State: optimized geometry

The calculation puts the magnetization at 1.00 μB/f.u.

a b c (Å): 6.411 6.411 8.061
angles (deg): 90.00 90.00 90.00
Space group I4mm (No. 107)
Inequivalent atoms, fractional coordinates:
Rb 0.000 0.500 0.000 x4
Ge 0.000 0.000 0.254 x2
F 0.000 0.000 0.029 x2
F 0.214 0.214 0.255 x8


Material: RbGeF3
Method: DFT, PBE-GGA
State: optimized geometry

The calculation puts the magnetization at 0.00 μB/f.u.

a b c (Å): 4.646 6.211 7.576
angles (deg): 86.89 75.42 89.60
Space group P-1 (No. 2)
Inequivalent atoms, fractional coordinates:
Rb 0.247 0.256 0.382 x2
Ge 0.350 0.231 0.854 x2
F 0.162 0.456 0.754 x2
F 0.165 0.009 0.765 x2
F 0.346 0.762 0.366 x2


no.,raw total energy (eV/atom),ρ (g/cm³),raw formation energy (eV per atom)
1,-1.845,2.4,1.49
2,-4.596,4.0,-2.36
3,-2.988,2.9,-0.88
4,-3.281,3.0,-1.04
5,-4.730,3.9,-2.75
6,-3.895,3.3,-1.56
7,-4.739,3.6,-2.76
8,-4.621,3.1,-2.41
9,-3.490,3.6,-0.47
10,-4.198,3.7,-1.87
11,-4.501,3.4,-2.51
12,-4.703,3.4,-2.46